1.
Computed, not measured: a relaxed NaErO3 crystal at the GGA-PBE level of DFT.

Calculated values
Total energy = -5.953 eV/atom
Symmetry = P4mm

```
NaErO3
1.0
4.2451 0.0000 0.0000
0.0000 4.2451 0.0000
0.0000 0.0000 4.4255
Na Er O
1 1 3
Direct
0.0000 0.0000 0.0000
0.5000 0.5000 0.6292
0.0000 0.5000 0.7192
0.5000 0.0000 0.7192
0.5000 0.5000 0.1347
```

***

2.
Computed, not measured: a relaxed NbFeIr crystal at the GGA-PBE level of DFT.

Calculated values
Energy relative to the elements = 0.38 eV/atom
Symmetry = F-43m

```
NbFeIr
1.0
5.8922 0.0000 0.0000
0.0000 5.8922 0.0000
0.0000 0.0000 5.8922
Nb Fe Ir
4 4 4
Direct
0.0000 0.0000 0.0000
0.0000 0.5000 0.5000
0.5000 0.0000 0.5000
0.5000 0.5000 0.0000
0.2500 0.2500 0.7500
0.2500 0.7500 0.2500
0.7500 0.2500 0.2500
0.7500 0.7500 0.7500
0.2500 0.2500 0.2500
0.2500 0.7500 0.7500
0.7500 0.2500 0.7500
0.7500 0.7500 0.2500
```

***

3.
Computed, not measured: a relaxed Zr crystal at the GGA-PBE level of DFT.

Calculated values
Polymorph energy (0 for the lowest one) = 0 meV/atom
Energy relative to the elements = 0.00 eV/atom
Symmetry = Cmcm

```
Zr
1.0
3.2301 0.0000 0.0000
0.0000 5.5805 0.0000
0.0000 0.0000 5.1774
Zr
4
Direct
0.0000 0.1674 0.2500
0.0000 0.8326 0.7500
0.5000 0.3326 0.7500
0.5000 0.6674 0.2500
```

***

4.
Computed, not measured: a relaxed Hf2Ta4Cu3N3 crystal at the GGA-PBE level of DFT.

Calculated values
Total energy = -9.260 eV/atom
Symmetry = C2/c

```
Hf2Ta4Cu3N3
1.0
4.6652 -2.6865 0.0000
4.6652 2.6865 0.0000
-3.0954 0.0000 13.2580
Hf Ta Cu N
4 8 6 6
Direct
0.0386 0.8769 0.6150
0.1231 0.9614 0.8850
0.8769 0.0386 0.1150
0.9614 0.1231 0.3850
0.1944 0.3601 0.0850
0.3029 0.4742 0.4148
0.3601 0.1944 0.5850
0.4742 0.3029 0.9148
0.5258 0.6971 0.0852
0.6399 0.8056 0.4150
0.6971 0.5258 0.5852
0.8056 0.6399 0.9150
0.0836 0.3766 0.7506
0.3766 0.0836 0.2506
0.4555 0.5445 0.2500
0.5445 0.4555 0.7500
0.6234 0.9164 0.7494
0.9164 0.6234 0.2494
0.0000 0.5000 0.5000
0.1553 0.6895 0.9999
0.3105 0.8447 0.5001
0.5000 0.0000 0.0000
0.6895 0.1553 0.4999
0.8447 0.3105 0.0001
```

***

5.
Computed, not measured: a relaxed SmSiHO4 crystal at the GGA-PBE level of DFT.

Calculated values
Polymorph energy (0 for the lowest one) = 28 meV/atom
Symmetry = P2_1/c

```
SmSiHO4
1.0
7.2123 0.0000 0.0000
0.0000 6.3788 0.0000
-1.4277 0.0000 6.8273
Sm Si H O
4 4 4 16
Direct
0.2237 0.1369 0.4938
0.2237 0.3631 0.9938
0.7763 0.6369 0.0062
0.7763 0.8631 0.5062
0.2490 0.6231 0.4857
0.2490 0.8769 0.9857
0.7510 0.1231 0.0143
0.7510 0.3769 0.5143
0.3866 0.6315 0.8380
0.3866 0.8685 0.3380
0.6134 0.1315 0.6620
0.6134 0.3685 0.1620
0.0761 0.7118 0.9735
0.0761 0.7882 0.4735
0.2310 0.0519 0.8147
0.2310 0.4481 0.3147
0.2920 0.0155 0.1874
0.2920 0.4845 0.6874
0.4299 0.7100 0.9724
0.4299 0.7900 0.4724
0.5701 0.2100 0.5276
0.5701 0.2900 0.0276
0.7080 0.5155 0.3126
0.7080 0.9845 0.8126
0.7690 0.5519 0.6853
0.7690 0.9481 0.1853
0.9239 0.2118 0.5265
0.9239 0.2882 0.0265
```

***

6.
Computed, not measured: a relaxed SmAgGeTe2Se crystal at the GGA-PBE level of DFT.

Calculated values
Total energy = -4.257 eV/atom
Symmetry = Cmcm

```
SmAgGeTe2Se
1.0
2.1098 -7.2225 0.0000
2.1098 7.2225 0.0000
0.0000 0.0000 10.6901
Sm Ag Ge Te Se
2 2 2 4 2
Direct
0.0000 0.0000 0.0000
0.0000 0.0000 0.5000
0.4825 0.5175 0.7500
0.5175 0.4825 0.2500
0.2346 0.7654 0.2500
0.7654 0.2346 0.7500
0.3437 0.6563 0.5659
0.3437 0.6563 0.9341
0.6563 0.3437 0.0659
0.6563 0.3437 0.4341
0.0961 0.9039 0.7500
0.9039 0.0961 0.2500
```

***

7.
Computed, not measured: a relaxed ZnB2 crystal at the GGA-PBE level of DFT.

Calculated values
Total energy = -3.668 eV/atom
Symmetry = Fd-3m

```
ZnB2
1.0
0.0000 2.9757 2.9757
2.9757 0.0000 2.9757
2.9757 2.9757 0.0000
Zn B
2 4
Direct
0.1250 0.1250 0.1250
0.8750 0.8750 0.8750
0.0000 0.5000 0.5000
0.5000 0.0000 0.5000
0.5000 0.5000 0.0000
0.5000 0.5000 0.5000
```

***

8.
Computed, not measured: a relaxed Er2TmCu4Si4 crystal at the GGA-PBE level of DFT.

Calculated values
Total energy = -5.197 eV/atom
Symmetry = Immm

```
Er2TmCu4Si4
1.0
-2.0471 3.2506 6.7761
2.0471 -3.2506 6.7761
2.0471 3.2506 -6.7761
Er Tm Cu Si
2 1 4 4
Direct
0.1285 0.1285 0.0000
0.8715 0.8715 0.0000
0.5000 0.0000 0.5000
0.1395 0.3306 0.8089
0.4783 0.6694 0.8089
0.5217 0.3306 0.1911
0.8605 0.6694 0.1911
0.1857 0.5000 0.6857
0.2836 0.7836 0.5000
0.7164 0.2164 0.5000
0.8143 0.5000 0.3143
```

***

9.
Computed, not measured: a relaxed CsTaMo crystal at the GGA-PBE level of DFT.

Calculated values
Polymorph energy (0 for the lowest one) = 888 meV/atom
Symmetry = F-43m

```
CsTaMo
1.0
6.5006 0.0000 0.0000
0.0000 6.5006 0.0000
0.0000 0.0000 6.5006
Cs Ta Mo
4 4 4
Direct
0.0000 0.0000 0.0000
0.0000 0.5000 0.5000
0.5000 0.0000 0.5000
0.5000 0.5000 0.0000
0.2500 0.2500 0.2500
0.2500 0.7500 0.7500
0.7500 0.2500 0.7500
0.7500 0.7500 0.2500
0.2500 0.2500 0.7500
0.2500 0.7500 0.2500
0.7500 0.2500 0.2500
0.7500 0.7500 0.7500
```

***

10.
Computed, not measured: a relaxed AlFeTcW crystal at the GGA-PBE level of DFT.

Calculated values
Polymorph energy (0 for the lowest one) = 0 meV/atom
Symmetry = F-43m

```
AlFeTcW
1.0
6.0242 0.0000 0.0000
0.0000 6.0242 0.0000
0.0000 0.0000 6.0242
Al Fe Tc W
4 4 4 4
Direct
0.0000 0.0000 0.0000
0.0000 0.5000 0.5000
0.5000 0.0000 0.5000
0.5000 0.5000 0.0000
0.2500 0.2500 0.2500
0.2500 0.7500 0.7500
0.7500 0.2500 0.7500
0.7500 0.7500 0.2500
0.2500 0.2500 0.7500
0.2500 0.7500 0.2500
0.7500 0.2500 0.2500
0.7500 0.7500 0.7500
0.0000 0.0000 0.5000
0.0000 0.5000 0.0000
0.5000 0.0000 0.0000
0.5000 0.5000 0.5000
```

***

11.
Computed, not measured: a relaxed Ac3Ag4Sn4 crystal at the GGA-PBE level of DFT.

Calculated values
Total energy = -4.122 eV/atom
Symmetry = Immm

```
Ac3Ag4Sn4
1.0
-2.3037 2.4102 13.8984
2.3037 -2.4102 13.8984
2.3037 2.4102 -13.8984
Ac Ag Sn
3 4 4
Direct
0.0000 0.0000 0.0000
0.3468 0.8468 0.5000
0.6532 0.1532 0.5000
0.0956 0.5956 0.5000
0.2520 0.2520 0.0000
0.7480 0.7480 0.0000
0.9044 0.4044 0.5000
0.1935 0.6935 0.5000
0.4483 0.4483 0.0000
0.5517 0.5517 0.0000
0.8065 0.3065 0.5000
```

***

12.
Computed, not measured: a relaxed Sr2Fe2AgN3 crystal at the GGA-PBE level of DFT.

Calculated values
Total energy = -6.346 eV/atom
Symmetry = C2/c

```
Sr2Fe2AgN3
1.0
3.3267 -5.6024 0.0000
3.3267 5.6024 0.0000
-0.0039 0.0000 6.6519
Sr Fe Ag N
4 4 2 6
Direct
0.1788 0.3196 0.0992
0.3196 0.1788 0.5992
0.6804 0.8212 0.4008
0.8212 0.6804 0.9008
0.0727 0.6671 0.3968
0.3329 0.9273 0.1032
0.6671 0.0727 0.8968
0.9273 0.3329 0.6032
0.3110 0.6890 0.7500
0.6890 0.3110 0.2500
0.0878 0.9122 0.2500
0.2094 0.4837 0.4642
0.4837 0.2094 0.9642
0.5163 0.7906 0.0358
0.7906 0.5163 0.5358
0.9122 0.0878 0.7500
```